The following is a DFT calculation (PBE-GGA) of KTe2As after structural relaxation.

Computed properties:
Volume: 41.06 Å³/atom
Uncorrected formation energy: -1.27 eV per formula unit
Space-group type: I-42d (122)
Total magnetization: 0.0 μB per cell
Total energy: -3.33 eV/atom

```
KTe2As
1.0
-8.136 0.750 -1.146
-0.452 -7.987 -2.017
-5.050 -4.745 3.049
Te K As
4 2 2
Direct
0.701 0.125 0.250
0.375 0.299 0.750
0.875 0.951 0.750
0.049 0.625 0.250
0.250 0.750 0.500
0.500 0.500 0.000
0.750 0.250 0.500
0.000 0.000 0.000
```


The following is a DFT calculation (PBE-GGA) of K3Te4As after structural relaxation.

Computed properties:
Volume: 42.28 Å³/atom
Uncorrected formation energy: -4.64 eV per formula unit
Space-group type: Pmn2_1 (31)
Total magnetization: 0.0 μB per cell
Total energy: -3.14 eV/atom

```
K3Te4As
1.0
-4.906 -1.009 4.928
5.052 -0.755 4.874
-0.329 13.416 2.419
As Te K
2 8 6
Direct
0.462 0.860 0.500
0.962 0.140 0.000
0.096 0.807 0.500
0.596 0.193 0.000
0.019 0.777 0.000
0.105 0.283 0.161
0.105 0.283 0.839
0.519 0.223 0.500
0.605 0.717 0.661
0.605 0.717 0.339
0.520 0.689 0.000
0.604 0.215 0.749
0.104 0.785 0.249
0.020 0.311 0.500
0.104 0.785 0.751
0.604 0.215 0.251
```


The following is a DFT calculation (PBE-GGA) of KTe2As after structural relaxation.

Computed properties:
Volume: 31.12 Å³/atom
Uncorrected formation energy: -0.42 eV per formula unit
Space-group type: C2/m (12)
Total magnetization: 0.0 μB per cell
Total energy: -3.11 eV/atom

```
KTe2As
1.0
-6.170 -6.380 1.464
4.855 2.800 3.638
-1.224 2.239 1.818
Te As K
2 1 1
Direct
0.000 0.000 0.000
0.500 0.000 0.500
0.000 0.500 0.500
0.500 0.500 0.000
```


The following is a DFT calculation (PBE-GGA) of K2TeAs2 after structural relaxation.

Computed properties:
Volume: 33.37 Å³/atom
Uncorrected formation energy: -1.65 eV per formula unit
Space-group type: P4/mbm (127)
Total magnetization: 0.0 μB per cell
Total energy: -3.26 eV/atom

```
K2TeAs2
1.0
9.313 0.000 0.000
0.000 9.313 0.000
0.000 0.000 3.847
K As Te
4 4 2
Direct
0.792 0.292 0.500
0.708 0.792 0.500
0.208 0.708 0.500
0.292 0.208 0.500
0.584 0.084 0.000
0.916 0.584 0.000
0.416 0.916 0.000
0.084 0.416 0.000
0.000 0.000 0.000
0.500 0.500 0.000
```


The following is a DFT calculation (PBE-GGA) of KTe2As after structural relaxation.

Computed properties:
Volume: 29.55 Å³/atom
Uncorrected formation energy: -0.18 eV per formula unit
Space-group type: P4/mmm (123)
Total magnetization: 0.0 μB per cell
Total energy: -3.05 eV/atom

```
KTe2As
1.0
-2.546 1.403 2.279
-2.621 -1.929 -1.741
1.241 -6.615 5.461
As K Te
1 1 2
Direct
0.500 0.500 0.250
0.500 0.500 0.750
0.000 0.000 0.045
0.000 0.000 0.455
```


The following is a DFT calculation (PBE-GGA) of KTeAs3 after structural relaxation.

Computed properties:
Volume: 32.06 Å³/atom
Uncorrected formation energy: 7.95 eV per formula unit
Space-group type: Pm-3m (221)
Total magnetization: 0.0 μB per cell
Total energy: -2.05 eV/atom

```
KTeAs3
1.0
-1.308 -2.197 -4.793
-0.401 -4.882 2.348
-5.257 0.920 1.013
Te As K
1 3 1
Direct
0.500 0.500 0.500
0.500 0.000 0.000
0.000 0.500 0.000
0.000 0.000 0.500
0.000 0.000 0.000
```


The following is a DFT calculation (PBE-GGA) of K2Te3As after structural relaxation.

Computed properties:
Volume: 41.94 Å³/atom
Uncorrected formation energy: -3.03 eV per formula unit
Space-group type: Cmce (64)
Total magnetization: 0.0 μB per cell
Total energy: -3.22 eV/atom

```
K2Te3As
1.0
8.074 0.000 0.000
-4.037 7.135 0.000
0.000 0.000 17.471
Te K As
12 8 4
Direct
0.428 0.356 0.250
0.091 0.182 0.631
0.909 0.818 0.369
0.409 0.818 0.131
0.572 0.644 0.750
0.591 0.182 0.869
0.124 0.249 0.034
0.072 0.644 0.750
0.928 0.356 0.250
0.876 0.751 0.966
0.624 0.249 0.466
0.376 0.751 0.534
0.564 0.128 0.670
0.652 0.304 0.068
0.152 0.304 0.432
0.936 0.872 0.170
0.064 0.128 0.830
0.848 0.696 0.568
0.436 0.872 0.330
0.348 0.696 0.932
0.768 0.537 0.845
0.732 0.463 0.345
0.268 0.537 0.655
0.232 0.463 0.155
```


The following is a DFT calculation (PBE-GGA) of KTe2As after structural relaxation.

Computed properties:
Volume: 37.22 Å³/atom
Uncorrected formation energy: -1.16 eV per formula unit
Space-group type: P4mm (99)
Total magnetization: 0.0 μB per cell
Total energy: -3.30 eV/atom

```
KTe2As
1.0
4.255 0.000 0.000
0.000 4.255 0.000
0.000 0.000 8.226
K Te As
1 2 1
Direct
0.500 0.500 0.808
0.000 0.000 0.003
0.500 0.500 0.379
0.000 0.000 0.310
```


The following is a DFT calculation (PBE-GGA) of K8TeAs2 after structural relaxation.

Computed properties:
Volume: 37.16 Å³/atom
Uncorrected formation energy: -5.50 eV per formula unit
Space-group type: Immm (71)
Total magnetization: 0.0 μB per cell
Total energy: -2.43 eV/atom

```
K8TeAs2
1.0
-3.304 -3.206 3.202
-3.941 -2.938 -7.009
9.276 -3.272 1.385
K As Te
8 2 1
Direct
0.340 0.565 0.680
0.660 0.885 0.320
0.168 0.168 0.337
0.660 0.435 0.320
0.340 0.115 0.680
0.832 0.832 0.663
0.000 0.703 0.000
0.000 0.297 0.000
0.181 0.681 0.363
0.819 0.319 0.637
0.500 0.000 0.000
```


The following is a DFT calculation (PBE-GGA) of K3Te4As after structural relaxation.

Computed properties:
Volume: 41.09 Å³/atom
Uncorrected formation energy: -5.03 eV per formula unit
Space-group type: Pnma (62)
Total magnetization: 0.0 μB per cell
Total energy: -3.19 eV/atom

```
K3Te4As
1.0
10.099 0.000 0.000
0.000 10.991 0.000
0.000 0.000 11.846
Te K As
16 12 4
Direct
0.483 0.892 0.750
0.017 0.392 0.250
0.656 0.745 0.250
0.631 0.522 0.563
0.131 0.978 0.937
0.869 0.022 0.063
0.844 0.245 0.750
0.156 0.755 0.250
0.369 0.478 0.063
0.344 0.255 0.750
0.517 0.108 0.250
0.369 0.478 0.437
0.131 0.978 0.563
0.869 0.022 0.437
0.631 0.522 0.937
0.983 0.608 0.750
0.916 0.690 0.047
0.084 0.310 0.953
0.648 0.415 0.250
0.352 0.585 0.750
0.916 0.690 0.453
0.584 0.190 0.953
0.084 0.310 0.547
0.584 0.190 0.547
0.148 0.085 0.250
0.416 0.810 0.453
0.416 0.810 0.047
0.852 0.915 0.750
0.770 0.471 0.750
0.230 0.529 0.250
0.730 0.971 0.250
0.270 0.029 0.750
```


The following is a DFT calculation (PBE-GGA) of KTe2As after structural relaxation.

Computed properties:
Volume: 28.44 Å³/atom
Uncorrected formation energy: 0.07 eV per formula unit
Space-group type: I-4m2 (119)
Total magnetization: 0.0 μB per cell
Total energy: -2.99 eV/atom

```
KTe2As
1.0
-2.476 -4.019 4.268
0.983 -6.250 -0.683
3.426 5.363 -0.023
As Te K
1 2 1
Direct
0.500 0.500 0.000
0.000 0.000 0.000
0.250 0.750 0.500
0.750 0.250 0.500
```


The following is a DFT calculation (PBE-GGA) of KTe2As after structural relaxation.

Computed properties:
Volume: 30.56 Å³/atom
Uncorrected formation energy: -0.77 eV per formula unit
Space-group type: Imm2 (44)
Total magnetization: 0.0 μB per cell
Total energy: -3.20 eV/atom

```
KTe2As
1.0
-2.232 5.222 3.079
-5.506 2.435 -2.342
2.752 -5.241 2.585
K Te As
1 2 1
Direct
0.262 0.762 0.500
0.970 0.970 0.000
0.723 0.223 0.500
0.545 0.545 0.000
```